## Li4Ac5Ag4 (PBE-GGA)

Data for a relaxed structure of Li4Ac5Ag4.

Output
crystal system	tetragonal
symmetry	No. 87
DFT formation energy	-0.154	eV per atom

Cell: 4.2659 9.5601 9.5601 Å, 87.15 77.11 77.11°
Sites, in units of the cell vectors:
Ac 0.0000 0.0000 0.0000
Ac 0.2876 0.0861 0.3386
Ac 0.3737 0.3386 0.9139
Ac 0.6263 0.6614 0.0861
Ac 0.7124 0.9139 0.6614
Li 0.4291 0.6639 0.4779
Li 0.0930 0.4779 0.3361
Li 0.5709 0.3361 0.5221
Li 0.9070 0.5221 0.6639
Ag 0.9379 0.7971 0.3270
Ag 0.2649 0.6730 0.7971
Ag 0.0621 0.2029 0.6730
Ag 0.7351 0.3270 0.2029